No. 1
Entry from the Alexandria database: a geometry-optimized Hf2Al5FeCo2 structure (PBE).

Cell and atoms, written as POSCAR:
```
Hf2Al5FeCo2
1.0
8.777 0.000 0.000
0.000 8.777 0.000
0.000 0.000 3.931
Hf Al Fe Co
4 10 2 4
direct
0.178 0.322 0.000
0.322 0.822 0.000
0.678 0.178 0.000
0.822 0.678 0.000
0.000 0.500 0.500
0.065 0.793 0.500
0.207 0.065 0.500
0.293 0.565 0.500
0.435 0.293 0.500
0.500 0.000 0.500
0.565 0.707 0.500
0.707 0.435 0.500
0.793 0.935 0.500
0.935 0.207 0.500
0.000 0.000 0.000
0.500 0.500 0.000
0.117 0.617 0.000
0.383 0.117 0.000
0.617 0.883 0.000
0.883 0.383 0.000
```

Results
Crystal system: tetragonal
N(E_F), states/eV per atom: 0.516
Formation energy, eV per formula unit: -4.36
Total energy, eV per formula unit: -65.65

No. 2
Entry from the Alexandria database: a geometry-optimized Hf2AlFe2Co5 structure (PBE).

Cell and atoms, written as POSCAR:
```
Hf2AlFe2Co5
1.0
8.625 0.000 0.000
0.000 8.625 0.000
0.000 0.000 3.592
Hf Al Fe Co
4 2 4 10
direct
0.178 0.322 0.000
0.322 0.822 0.000
0.678 0.178 0.000
0.822 0.678 0.000
0.000 0.000 0.000
0.500 0.500 0.000
0.121 0.621 0.000
0.379 0.121 0.000
0.621 0.879 0.000
0.879 0.379 0.000
0.000 0.500 0.500
0.062 0.793 0.500
0.207 0.062 0.500
0.293 0.562 0.500
0.438 0.293 0.500
0.500 0.000 0.500
0.562 0.707 0.500
0.707 0.438 0.500
0.793 0.938 0.500
0.938 0.207 0.500
```

Results
Crystal system: tetragonal
N(E_F), states/eV per atom: 1.179
Formation energy, eV per formula unit: -1.91
Total energy, eV per formula unit: -78.02

No. 3
Entry from the Alexandria database: a geometry-optimized AlFeCoIr2 structure (PBE).

Cell and atoms, written as POSCAR:
```
AlFeCoIr2
1.0
4.415 0.000 0.000
0.000 4.415 0.000
0.000 0.000 4.195
Al Fe Co Ir
1 1 1 2
direct
0.000 0.000 0.000
0.000 0.000 0.500
0.500 0.500 0.500
0.000 0.500 0.000
0.500 0.000 0.000
```

Results
Crystal system: tetragonal
N(E_F), states/eV per atom: 2.000
Formation energy, eV per formula unit: 6.85
Total energy, eV per formula unit: -30.19

No. 4
Entry from the Alexandria database: a geometry-optimized AlFe2CoMo structure (PBE).

Cell and atoms, written as POSCAR:
```
AlFe2CoMo
1.0
4.119 0.000 0.000
0.000 4.119 0.000
0.000 0.000 4.242
Al Fe Co Mo
1 2 1 1
direct
0.000 0.000 0.000
0.000 0.500 0.500
0.500 0.000 0.500
0.000 0.000 0.500
0.500 0.500 0.000
```

Results
Crystal system: tetragonal
N(E_F), states/eV per atom: 2.373
Offset from the most stable computed form, meV per atom: 0
Formation energy, eV per formula unit: 5.64
Total energy, eV per formula unit: -32.96